This record from Alexandria describes crystalline U2Cl2O at its relaxed geometry. The functional is PBE.

Cell: 3.425 3.425 13.040 Å, 90.00 90.00 90.00°
Space group P4/mmm (No. 123)
Inequivalent atoms, fractional coordinates:
U  0.000  0.000  0.158 (multiplicity 2)
Cl  0.000  0.000  0.348 (multiplicity 2)
O  0.000  0.000  0.000 (multiplicity 1)

Formation energy from raw total energies (eV/atom): -0.94

***

This record from Alexandria describes crystalline U2Cl8O at its relaxed geometry. The functional is PBE.

Cell: 15.904 10.732 5.409 Å, 90.00 109.83 90.00°
Space group C2/m (No. 12)
Inequivalent atoms, fractional coordinates:
U  0.138  0.000  0.137 (multiplicity 4)
Cl  0.135  0.000  0.635 (multiplicity 4)
Cl  0.135  0.231  0.135 (multiplicity 8)
Cl  0.197  0.500  0.699 (multiplicity 4)
O  0.000  0.000  0.000 (multiplicity 2)

Formation energy from raw total energies (eV/atom): -1.82

***

This record from Alexandria describes crystalline UCl2O2 at its relaxed geometry. The functional is PBE.

Cell: 5.949 8.414 8.973 Å, 90.00 90.00 90.00°
Space group Pnma (No. 62)
Inequivalent atoms, fractional coordinates:
U  0.068  0.250  0.076 (multiplicity 4)
Cl  0.165  0.562  0.127 (multiplicity 8)
O  0.169  0.750  0.789 (multiplicity 4)
O  0.195  0.750  0.455 (multiplicity 4)

Formation energy from raw total energies (eV/atom): -2.36

***

This record from Alexandria describes crystalline UCl2O at its relaxed geometry. The functional is PBE.

Cell: 6.611 3.819 7.772 Å, 90.00 106.53 90.00°
Space group Cm (No. 8)
Inequivalent atoms, fractional coordinates:
U  0.000  0.000  0.000 (multiplicity 2)
Cl  0.080  0.500  0.739 (multiplicity 2)
Cl  0.254  0.500  0.261 (multiplicity 2)
O  0.333  0.000  0.000 (multiplicity 2)

Formation energy from raw total energies (eV/atom): -2.25

***

This record from Alexandria describes crystalline UCl2O at its relaxed geometry. The functional is PBE.

Cell: 3.257 3.485 16.364 Å, 90.00 90.00 90.00°
Space group Amm2 (No. 38)
Inequivalent atoms, fractional coordinates:
U  0.000  0.000  0.000 (multiplicity 2)
Cl  0.000  0.000  0.152 (multiplicity 2)
Cl  0.500  0.000  0.865 (multiplicity 2)
O  0.500  0.000  0.512 (multiplicity 2)

Formation energy from raw total energies (eV/atom): -1.97

***

This record from Alexandria describes crystalline UClO at its relaxed geometry. The functional is PBE.

Cell: 3.7305 3.7305 5.4690 Å, 90.00 90.00 120.00°
Space group P3m1 (No. 156)
Inequivalent atoms, fractional coordinates:
U  0.0000  0.0000  0.0000 (multiplicity 1)
Cl  0.6667  0.3333  0.6439 (multiplicity 1)
O  0.3333  0.6667  0.1093 (multiplicity 1)

Formation energy from raw total energies (eV/atom): -2.22

***

This record from Alexandria describes crystalline UZn3Cl2O6 at its relaxed geometry. The functional is PBE.

Cell: 13.332 5.880 5.204 Å, 90.00 92.56 90.00°
Space group C2/m (No. 12)
Inequivalent atoms, fractional coordinates:
U  0.000  0.000  0.000 (multiplicity 2)
Zn  0.000  0.500  0.500 (multiplicity 2)
Zn  0.250  0.250  0.000 (multiplicity 4)
Cl  0.186  0.500  0.641 (multiplicity 4)
O  0.028  0.245  0.251 (multiplicity 8)
O  0.166  0.000  0.915 (multiplicity 4)

Formation energy from raw total energies (eV/atom): -1.51

***

no.,uncorrected energy (eV/atom)
1,-7.185
2,-5.666
3,-7.342
4,-7.237
5,-6.953
6,-8.254
7,-5.552